# PBE-GGA HoBO, optimized geometry
data_HoBO
_chemical_formula_sum 'Ho2 B2 O2'
_cell_length_a 3.252
_cell_length_b 3.170
_cell_length_c 7.490
_cell_angle_alpha 90.00
_cell_angle_beta 102.47
_cell_angle_gamma 90.00
_space_group_name_H-M_alt 'P 1 21/m 1'
_space_group_IT_number 11
loop_
_space_group_symop_operation_xyz
'x,y,z'
'-x,-y,-z'
'-x,y+1/2,-z'
'x,-y+1/2,z'
loop_
_atom_site_label
_atom_site_type_symbol
_atom_site_fract_x
_atom_site_fract_y
_atom_site_fract_z
Ho1 Ho 0.150 0.250 0.298
B1 B 0.496 0.250 0.991
O1 O 0.308 0.250 0.617
# total DFT energy (no corrections) = -7.313 eV per atom
# N(E_F) = 0.6 states/eV/f.u.
# formation energy from raw total energies = -1.91 eV per atom